(1)
DFT (GGA-PBE) results for a relaxed K2AgMoBr6 crystal.

abc: 10.8690 10.8690 10.8690
angles: 90.00 90.00 90.00
Space group Fm-3m (No. 225)
Asymmetric unit:
1 K 0.2500 0.2500 0.2500 x8
2 Ag 0.0000 0.0000 0.0000 x4
3 Mo 0.0000 0.0000 0.5000 x4
4 Br 0.0000 0.0000 0.2594 x24

(2)
DFT (GGA-PBE) results for a relaxed K2NbAgBr6 crystal.

abc: 10.9461 10.9461 10.9461
angles: 90.00 90.00 90.00
Space group Fm-3m (No. 225)
Asymmetric unit:
1 K 0.2500 0.2500 0.2500 x8
2 Nb 0.0000 0.0000 0.0000 x4
3 Ag 0.0000 0.0000 0.5000 x4
4 Br 0.0000 0.0000 0.2423 x24

(3)
DFT (GGA-PBE) results for a relaxed KRb2AgBr6 crystal.

abc: 7.6310 7.6310 12.9894
angles: 90.00 90.00 90.00
Space group I4/m (No. 87)
Asymmetric unit:
1 K 0.0000 0.0000 0.0000 x2
2 Rb 0.0000 0.5000 0.2500 x4
3 Ag 0.0000 0.0000 0.5000 x2
4 Br 0.0000 0.0000 0.2455 x4
5 Br 0.0848 0.6800 0.5000 x8

(4)
DFT (GGA-PBE) results for a relaxed K2TcAgBr6 crystal.

abc: 10.7886 10.7886 10.7886
angles: 90.00 90.00 90.00
Space group Fm-3m (No. 225)
Asymmetric unit:
1 K 0.2500 0.2500 0.2500 x8
2 Tc 0.0000 0.0000 0.0000 x4
3 Ag 0.0000 0.0000 0.5000 x4
4 Br 0.0000 0.0000 0.2390 x24

Raw total energy per entry: -3.518, -3.535, -2.661, -3.373 eV per atom